1.
Entry from the Alexandria database: an optimized crystal structure of Sc2SbOs (GGA-PBE).

CIF file:
```
data_Sc2SbOs
_cell_length_a 3.288
_cell_length_b 4.312
_cell_length_c 6.004
_cell_angle_alpha 90.00
_cell_angle_beta 90.00
_cell_angle_gamma 90.00
_symmetry_space_group_name_H-M 'P m m 2'
_symmetry_Int_Tables_number 25
_symmetry_space_group_name_Hall 'P 2 -2'
loop_
_atom_site_label
_atom_site_fract_x
_atom_site_fract_y
_atom_site_fract_z
Sc1 0.000 0.000 0.000
Sc2 0.500 0.500 0.309
Sb1 0.500 0.500 0.789
Os1 0.000 0.000 0.414
```

Output
Its volume is 85.11 Å³ per cell. The value obtained for the uncorrected formation energy is -0.234 eV per atom. As for the density: 7.8 g/cm3.


2.
Entry from the Alexandria database: an optimized crystal structure of HgAuSeN2 (GGA-PBE).

CIF file:
```
data_HgAuSeN2
_cell_length_a 4.153
_cell_length_b 4.153
_cell_length_c 6.259
_cell_angle_alpha 90.00
_cell_angle_beta 90.00
_cell_angle_gamma 90.00
_symmetry_space_group_name_H-M 'P 4/m m m'
_symmetry_Int_Tables_number 123
_symmetry_space_group_name_Hall '-P 4 2'
loop_
_atom_site_label
_atom_site_fract_x
_atom_site_fract_y
_atom_site_fract_z
Hg1 0.000 0.000 0.000
Au1 0.500 0.500 0.500
Se1 0.000 0.000 0.500
N1 0.000 0.500 0.000
```

Output
Its volume is 107.93 Å³ per cell. As for the energy above the lowest structure with this stoichiometry: 401 meV per atom. The value obtained for the uncorrected formation energy is 1.930 eV per atom. As for the density: 7.8 g/cm3.


| no. | magnetic moment (μB/f.u.) |
| --- | --- |
| 1 | 0.00 |
| 2 | 3.72 |